Computed, not measured: crystalline ErAg5F8 at its relaxed geometry at the PBE level of DFT.

abc: 6.4774 6.4774 6.4774
angles: 109.20 109.20 110.02
With the nearest neighbours (Å) after each atom.
Fractional coordinates of all 14 atoms:
Er  0.0000  0.0000  0.0000  8 F 2.24-2.33
Ag  0.3253  0.5703  0.7408  6 F 2.45-2.65
Ag  0.4155  0.6747  0.2450  6 F 2.45-2.65
Ag  0.4297  0.1705  0.7550  6 F 2.45-2.65
Ag  0.7500  0.2500  0.5000  4 F 2.40
Ag  0.8295  0.5845  0.2592  6 F 2.45-2.65
F  0.0756  0.2522  0.8171  1 Er 2.33, 2 Ag 2.40-2.45
F  0.0867  0.3754  0.2786  1 Er 2.24, 3 Ag 2.47-2.48
F  0.0968  0.8081  0.7214  1 Er 2.24, 3 Ag 2.47-2.48
F  0.1919  0.9133  0.2887  1 Er 2.24, 3 Ag 2.47-2.48
F  0.4350  0.2585  0.1829  1 Er 2.33, 2 Ag 2.40-2.45
F  0.6246  0.9032  0.7113  1 Er 2.24, 3 Ag 2.47-2.48
F  0.7415  0.9244  0.1766  1 Er 2.33, 2 Ag 2.40-2.45
F  0.7478  0.5649  0.8234  1 Er 2.33, 2 Ag 2.40-2.45

Properties
Electronic total energy   -4.284 eV/atom
Raw formation energy   -1.871 eV/atom